Entry 1:
PBE-GGA Tb7Ga2Ir2, relaxed; E_tot = -61.328 eV per formula unit; space group = Cmmm, No. 65; formation enthalpy at 0 K = -467.3 meV per atom
1.0
-2.327 -6.308 0.214
2.241 -1.048 -6.535
6.355 -0.139 2.201
Tb Ga Ir
7 2 2
Direct
0.000 0.259 0.500 Tb
0.500 0.741 0.000 Tb
0.000 0.741 0.500 Tb
0.500 0.259 0.000 Tb
0.000 0.000 0.000 Tb
0.500 0.747 0.500 Tb
0.500 0.253 0.500 Tb
0.834 0.500 0.834 Ga
0.166 0.500 0.166 Ga
0.709 0.000 0.291 Ir
0.291 0.000 0.709 Ir


Entry 2:
PBE-GGA KCo2HS, relaxed; E_tot = -10.842 eV per formula unit; space group = P4/mmm, No. 123
1.0
5.942 0.000 0.000
0.000 5.568 0.000
0.000 0.000 5.942
H K Co S
1 1 2 1
Direct
0.500 0.500 0.500 H
0.000 0.000 0.000 K
0.000 0.000 0.500 Co
0.500 0.000 0.000 Co
0.000 0.500 0.000 S